Below is a geometry-optimized RbTaV3 structure, with properties calculated at the PBE level.

a = 5.0477 Å, b = 5.0477 Å, c = 5.0477 Å
α = 90.00°, β = 90.00°, γ = 90.00°
Last column: magnetic moment on the atom in μB.
Atoms (fractional coordinates):
Ta (0.0000, 0.0000, 0.0000)  -0.28
Rb (0.5000, 0.5000, 0.5000)  0.06
V (0.0000, 0.5000, 0.0000)  2.05
V (0.0000, 0.0000, 0.5000)  2.05
V (0.5000, 0.0000, 0.0000)  2.05

Computed properties:
Formation energy in eV/f.u.: 8.268
Crystal system: cubic
SG: Pm-3m, No. 221